Entry from the Alexandria database: a relaxed KPH crystal (GGA-PBE).

Computed properties:
- electronic total energy (eV/atom) = -3.244
- crystal system = monoclinic
- offset from the most stable computed form (meV per atom) = 338
- V (Å³/f.u.) = 68.1

Unit cell a=4.1589 b=3.3204 c=9.9278 alpha=90.00 beta=96.89 gamma=90.00
Fractional coordinates of all 6 atoms:
K 0.2049 0.2500 0.3385
K 0.7951 0.7500 0.6615
P 0.3544 0.7500 0.9588
P 0.6456 0.2500 0.0412
H 0.2838 0.2500 0.6199
H 0.7162 0.7500 0.3801